Entry 1:
Below is an optimized crystal structure of SrTlHg, with properties calculated at the PBE level.

Unit cell a=10.575 b=4.514 c=8.436 alpha=90.00 beta=90.00 gamma=90.00
Atoms (fractional coordinates):
1 Sr 0.107 0.250 0.180
2 Sr 0.393 0.750 0.680
3 Sr 0.607 0.250 0.320
4 Sr 0.893 0.750 0.820
5 Tl 0.112 0.750 0.497
6 Tl 0.388 0.250 0.997
7 Tl 0.612 0.750 0.003
8 Tl 0.888 0.250 0.503
9 Hg 0.131 0.250 0.781
10 Hg 0.369 0.750 0.281
11 Hg 0.631 0.250 0.719
12 Hg 0.869 0.750 0.219

## Properties
space group	Pnma
ρ	8.125	g cm⁻³
energy of formation	-0.317	eV per atom
Fermi-level density of states	7.1	states/eV per cell
polymorph energy (0 for the lowest one)	100	meV/atom
energy	-1.767	eV per atom
magnetization	0.00	μB per formula unit

***

Entry 2:
Below is an optimized crystal structure of Sr3Tl5Hg12, with properties calculated at the PBE level.

Unit cell a=15.843 b=15.843 c=15.843 alpha=109.47 beta=109.47 gamma=109.47
Atoms (fractional coordinates):
1 Sr 0.125 0.250 0.375
2 Sr 0.125 0.375 0.750
3 Sr 0.250 0.375 0.125
4 Sr 0.250 0.875 0.625
5 Sr 0.375 0.125 0.250
6 Sr 0.375 0.750 0.125
7 Sr 0.625 0.250 0.875
8 Sr 0.625 0.875 0.750
9 Sr 0.750 0.125 0.375
10 Sr 0.750 0.625 0.875
11 Sr 0.875 0.625 0.250
12 Sr 0.875 0.750 0.625
13 Tl 0.000 0.000 0.000
14 Tl 0.000 0.000 0.500
15 Tl 0.000 0.500 0.000
16 Tl 0.000 0.500 0.500
17 Tl 0.125 0.750 0.875
18 Tl 0.125 0.875 0.250
19 Tl 0.250 0.125 0.875
20 Tl 0.250 0.625 0.375
21 Tl 0.375 0.250 0.625
22 Tl 0.375 0.625 0.750
23 Tl 0.500 0.000 0.000
24 Tl 0.500 0.000 0.500
25 Tl 0.500 0.500 0.000
26 Tl 0.500 0.500 0.500
27 Tl 0.625 0.375 0.250
28 Tl 0.625 0.750 0.375
29 Tl 0.750 0.375 0.625
30 Tl 0.750 0.875 0.125
31 Tl 0.875 0.125 0.750
32 Tl 0.875 0.250 0.125
33 Hg 0.063 0.227 0.143
34 Hg 0.063 0.336 0.920
35 Hg 0.080 0.643 0.416
36 Hg 0.080 0.937 0.664
37 Hg 0.084 0.727 0.664
38 Hg 0.084 0.857 0.420
39 Hg 0.143 0.063 0.227
40 Hg 0.143 0.580 0.916
41 Hg 0.164 0.227 0.584
42 Hg 0.164 0.437 0.580
43 Hg 0.227 0.143 0.063
44 Hg 0.227 0.584 0.164
45 Hg 0.273 0.336 0.916
46 Hg 0.273 0.437 0.357
47 Hg 0.336 0.916 0.273
48 Hg 0.336 0.920 0.063
49 Hg 0.357 0.273 0.437
50 Hg 0.357 0.584 0.920
51 Hg 0.416 0.080 0.643
52 Hg 0.416 0.836 0.773
53 Hg 0.420 0.084 0.857
54 Hg 0.420 0.836 0.563
55 Hg 0.437 0.357 0.273
56 Hg 0.437 0.580 0.164
57 Hg 0.563 0.420 0.836
58 Hg 0.563 0.643 0.727
59 Hg 0.580 0.164 0.437
60 Hg 0.580 0.916 0.143
61 Hg 0.584 0.164 0.227
62 Hg 0.584 0.920 0.357
63 Hg 0.643 0.416 0.080
64 Hg 0.643 0.727 0.563
65 Hg 0.664 0.080 0.937
66 Hg 0.664 0.084 0.727
67 Hg 0.727 0.563 0.643
68 Hg 0.727 0.664 0.084
69 Hg 0.773 0.416 0.836
70 Hg 0.773 0.857 0.937
71 Hg 0.836 0.563 0.420
72 Hg 0.836 0.773 0.416
73 Hg 0.857 0.420 0.084
74 Hg 0.857 0.937 0.773
75 Hg 0.916 0.143 0.580
76 Hg 0.916 0.273 0.336
77 Hg 0.920 0.063 0.336
78 Hg 0.920 0.357 0.584
79 Hg 0.937 0.664 0.080
80 Hg 0.937 0.773 0.857

## Properties
space group	Ia-3d
ρ	8.011	g cm⁻³
energy of formation	-0.011	eV per atom
Fermi-level density of states	52.7	states/eV per cell
energy	-1.036	eV per atom
magnetization	0.00	μB per formula unit

***

Entry 3:
Below is an optimized crystal structure of Sr3TlHg, with properties calculated at the PBE level.

Unit cell a=11.475 b=11.475 c=5.805 alpha=90.00 beta=90.00 gamma=150.64
Atoms (fractional coordinates):
1 Sr 0.074 0.926 0.750
2 Sr 0.249 0.751 0.750
3 Sr 0.425 0.575 0.750
4 Sr 0.575 0.425 0.250
5 Sr 0.751 0.249 0.250
6 Sr 0.926 0.074 0.250
7 Tl 0.157 0.843 0.250
8 Tl 0.843 0.157 0.750
9 Hg 0.342 0.658 0.250
10 Hg 0.658 0.342 0.750

## Properties
space group	Cmcm
ρ	5.917	g cm⁻³
energy of formation	-0.406	eV per atom
Fermi-level density of states	7.6	states/eV per cell
polymorph energy (0 for the lowest one)	0	meV/atom
energy	-1.948	eV per atom
magnetization	0.00	μB per formula unit

***

- Look up the magnetization of the third one.
  0.00 μB per formula unit

***

- Which of these has the highest energy of formation?
  Sr3Tl5Hg12